P) VASP calculation (PBE-GGA) on a relaxed structure of Sc3TaSb.

Cell and atoms, written as extended XYZ:
```
5
Lattice="5.1031 0.0000 0.0000 0.0000 5.1031 0.0000 0.0000 0.0000 5.1031" Properties=species:S:1:pos:R:3 pbc="T T T"
Sc 0.0000 2.5516 0.0000
Sc 2.5516 0.0000 0.0000
Ta 0.0000 0.0000 0.0000
Sc 0.0000 0.0000 2.5516
Sb 2.5516 2.5516 2.5516
```

Symmetry: No. 221

Q) VASP calculation (PBE-GGA) on a relaxed structure of Sc3TaSb.

Cell and atoms, written as extended XYZ:
```
5
Lattice="-2.8412 -2.6661 -3.4959 3.9201 0.3484 -3.4516 1.9906 -4.4914 1.8074" Properties=species:S:1:pos:R:3 pbc="T T T"
Sb 0.0000 0.0000 0.0000
Ta 1.5347 -3.4046 -2.5700
Sc 0.9953 -2.2457 0.9037
Sc -1.4206 -1.3330 -1.7480
Sc 1.9600 0.1742 -1.7258
```

Symmetry: No. 221

Most favorable structure: P). The second most favorable one is 301 meV/atom above it.

P) VASP calculation (PBE-GGA) on a relaxed structure of ScTa3Sb.

Cell and atoms, written as extended XYZ:
```
5
Lattice="4.7996 0.0000 0.0000 0.0000 4.7996 0.0000 0.0000 0.0000 4.7996" Properties=species:S:1:pos:R:3 pbc="T T T"
Ta 0.0000 2.3998 0.0000
Ta 0.0000 0.0000 2.3998
Ta 2.3998 0.0000 0.0000
Sb 2.3998 2.3998 2.3998
Sc 0.0000 0.0000 0.0000
```

Symmetry: No. 221

Q) VASP calculation (PBE-GGA) on a relaxed structure of ScTa3Sb.

Cell and atoms, written as extended XYZ:
```
5
Lattice="-1.7616 -4.0351 -2.4259 1.6626 -2.9565 3.7102 -4.4049 0.4978 2.3706" Properties=species:S:1:pos:R:3 pbc="T T T"
Ta -2.2024 0.2489 1.1853
Ta 0.8313 -1.4782 1.8551
Sc -2.2520 -3.2469 1.8274
Ta -0.8808 -2.0175 -1.2130
Sb 0.0000 0.0000 0.0000
```

Symmetry: No. 221

Most favorable structure: Q). The second most favorable one is 270 meV/atom above it.

P) VASP calculation (PBE-GGA) on a relaxed structure of TbScSb2.

Cell and atoms, written as extended XYZ:
```
4
Lattice="-1.1854 -3.8780 -1.3135 -0.2679 -3.2073 2.7948 -7.3692 -0.6853 1.7578" Properties=species:S:1:pos:R:3 pbc="T T T"
Sc -8.2922 -5.4201 2.7368
Sb -2.0713 -1.9754 0.7851
Sb -5.7896 -1.0700 1.4677
Tb -4.4500 -3.8759 1.6266
```

Symmetry: No. 160

Q) VASP calculation (PBE-GGA) on a relaxed structure of TbScSb2.

Cell and atoms, written as extended XYZ:
```
4
Lattice="4.2881 -0.0011 -0.0041 -2.1438 3.7137 0.0041 -2.1393 -1.2399 6.9872" Properties=species:S:1:pos:R:3 pbc="T T T"
Sc 4.2879 -0.0010 -0.0040
Sb 0.0037 -0.0021 5.3519
Tb -2.1415 1.2369 3.4958
Sb 0.0014 2.4748 1.6350
```

Symmetry: No. 166

Most favorable structure: Q). The second most favorable one is 92 meV/atom above it.

P) VASP calculation (PBE-GGA) on a relaxed structure of Sc4TcSb.

Cell and atoms, written as extended XYZ:
```
6
Lattice="0.3209 -4.4183 -3.4573 -4.2967 -3.6037 -0.3602 -3.1486 -0.1623 -4.6516" Properties=species:S:1:pos:R:3 pbc="T T T"
Sc -2.8907 -5.0171 -2.9901
Sc -2.3270 -3.3273 -5.0973
Sc -4.5943 -2.9273 -3.5766
Sb 0.0000 0.0000 0.0000
Sc -4.4367 -5.0968 -5.2742
Tc -1.7811 -2.0461 -2.1173
```

Symmetry: No. 216

Q) VASP calculation (PBE-GGA) on a relaxed structure of Sc4TcSb.

Cell and atoms, written as extended XYZ:
```
24
Lattice="-0.5126 -1.3294 3.7717 6.6713 -3.4495 -0.3092 7.7532 14.4437 6.1445" Properties=species:S:1:pos:R:3 pbc="T T T"
Sc 8.7660 2.5994 5.3399
Sc 7.0007 -2.8357 1.0294
Sc 2.3088 -1.4912 3.0206
Tc 4.6911 4.4842 5.4505
Tc 8.8199 12.3728 6.6371
Sc 3.4152 4.4652 3.1154
Tc 5.0919 -2.7080 2.9699
Sc 9.1570 7.9492 5.1237
Sb 10.9492 8.0268 7.5496
Sc 6.4574 10.8588 5.7824
Sc 5.1458 7.0653 4.2671
Sc 5.0562 -0.4165 1.6178
Sc 10.4966 5.1995 6.4916
Sb 6.7357 8.1161 7.0085
Sb 2.9627 1.6380 2.0574
Sc 11.6031 11.1560 6.5864
Sc 7.4545 -1.1940 3.8247
Sb 7.1762 1.5486 2.5985
Sc 4.7548 1.7156 4.4833
Sc 8.8556 10.0813 7.9892
Tc 9.2207 5.1806 4.1565
Sc 6.5477 4.2593 3.4685
Sc 6.9111 12.5004 8.5776
Sc 7.3641 5.4055 6.1385
```

Symmetry: No. 62

Most favorable structure: Q). The second most favorable one is 798 meV/atom above it.